Record 1
Crystalline Sm2MgPd2 at its relaxed geometry, computed with PBEsol.

Cell lengths 3.8469, 7.6417, 7.6417 Å; angles 90.00, 90.00, 90.00 degrees
Atoms (fractional coordinates):
Pd (0.0000, 0.3695, 0.1305)
Pd (0.0000, 0.8695, 0.3695)
Sm (0.5000, 0.3302, 0.8302)
Pd (0.0000, 0.6305, 0.8695)
Sm (0.5000, 0.1698, 0.3302)
Sm (0.5000, 0.8302, 0.6698)
Mg (0.0000, 0.5000, 0.5000)
Mg (0.0000, 0.0000, 0.0000)
Sm (0.5000, 0.6698, 0.1698)
Pd (0.0000, 0.1305, 0.6305)

Total DFT energy (no corrections) ... -5.4715 eV/atom

Record 2
Crystalline MgSnPd2 at its relaxed geometry, computed with PBEsol.

Cell lengths 4.5315, 4.5315, 4.5315 Å; angles 60.00, 60.00, 60.00 degrees
Atoms (fractional coordinates):
Pd (0.7500, 0.7500, 0.7500)
Pd (0.2500, 0.2500, 0.2500)
Sn (0.5000, 0.5000, 0.5000)
Mg (0.0000, 0.0000, 0.0000)

Total DFT energy (no corrections) ... -5.1643 eV/atom

Record 3
Crystalline SrMg2Pd2 at its relaxed geometry, computed with PBEsol.

Cell lengths 4.2910, 4.2910, 6.6252 Å; angles 108.90, 108.90, 90.00 degrees
Atoms (fractional coordinates):
Pd (0.6127, 0.6127, 0.2253)
Sr (0.0000, 0.0000, 0.0000)
Pd (0.3873, 0.3873, 0.7747)
Mg (0.7500, 0.2500, 0.5000)
Mg (0.2500, 0.7500, 0.5000)

Total DFT energy (no corrections) ... -3.9773 eV/atom

Record 4
Crystalline Tb2MgPd2 at its relaxed geometry, computed with PBEsol.

Cell lengths 3.7556, 7.5875, 7.5875 Å; angles 90.00, 90.00, 90.00 degrees
Atoms (fractional coordinates):
Pd (0.0000, 0.8683, 0.3683)
Mg (0.0000, 0.5000, 0.5000)
Pd (0.0000, 0.3683, 0.1317)
Tb (0.5000, 0.8318, 0.6682)
Mg (0.0000, 0.0000, 0.0000)
Pd (0.0000, 0.6317, 0.8683)
Pd (0.0000, 0.1317, 0.6317)
Tb (0.5000, 0.1682, 0.3318)
Tb (0.5000, 0.3318, 0.8318)
Tb (0.5000, 0.6682, 0.1682)

Total DFT energy (no corrections) ... -5.4809 eV/atom

Record 5
Crystalline Mg2TcPd at its relaxed geometry, computed with PBEsol.

Cell lengths 4.4562, 4.4562, 4.4562 Å; angles 60.00, 60.00, 60.00 degrees
Each line ends with the local moment (μB).
Atoms (fractional coordinates):
Tc (0.0000, 0.0000, 0.0000)  1.36
Pd (0.5000, 0.5000, 0.5000)  0.01
Mg (0.2500, 0.2500, 0.2500)  0.00
Mg (0.7500, 0.7500, 0.7500)  0.00

Total DFT energy (no corrections) ... -5.0538 eV/atom

Record 6
Crystalline TmMgPd at its relaxed geometry, computed with PBEsol.

Cell lengths 4.0152, 7.2622, 7.2622 Å; angles 120.00, 90.00, 90.00 degrees
Atoms (fractional coordinates):
Pd (0.0000, 0.6667, 0.3333)
Mg (0.0000, 0.2468, 0.2468)
Tm (0.5000, 0.0000, 0.4111)
Tm (0.5000, 0.4111, 0.0000)
Tm (0.5000, 0.5889, 0.5889)
Pd (0.5000, 0.0000, 0.0000)
Mg (0.0000, 0.7532, 0.0000)
Mg (0.0000, 0.0000, 0.7532)
Pd (0.0000, 0.3333, 0.6667)

Total DFT energy (no corrections) ... -4.8639 eV/atom

Record 7
Crystalline Y4MgPd at its relaxed geometry, computed with PBEsol.

Cell lengths 9.6713, 9.6713, 9.6713 Å; angles 60.00, 60.00, 60.00 degrees
Atoms (fractional coordinates):
Pd (0.1067, 0.6799, 0.1067)
Pd (0.1067, 0.1067, 0.1067)
Y (0.3162, 0.6838, 0.3162)
Mg (0.6699, 0.9902, 0.6699)
Y (0.9000, 0.3000, 0.9000)
Mg (0.9902, 0.6699, 0.6699)
Pd (0.6799, 0.1067, 0.1067)
Mg (0.6699, 0.6699, 0.9902)
Y (0.9000, 0.9000, 0.3000)
Y (0.3162, 0.6838, 0.6838)
Pd (0.1067, 0.1067, 0.6799)
Y (0.4390, 0.4390, 0.0610)
Y (0.9000, 0.9000, 0.9000)
Y (0.3000, 0.9000, 0.9000)
Mg (0.6699, 0.6699, 0.6699)
Y (0.6838, 0.6838, 0.3162)
Y (0.4390, 0.0610, 0.4390)
Y (0.0610, 0.4390, 0.4390)
Y (0.6838, 0.3162, 0.6838)
Y (0.6838, 0.3162, 0.3162)
Y (0.4390, 0.0610, 0.0610)
Y (0.3162, 0.3162, 0.6838)
Y (0.0610, 0.0610, 0.4390)
Y (0.0610, 0.4390, 0.0610)

Total DFT energy (no corrections) ... -6.1888 eV/atom

Record 8
Crystalline Y2MgPd2 at its relaxed geometry, computed with PBEsol.

Cell lengths 3.7561, 7.5816, 7.5816 Å; angles 90.00, 90.00, 90.00 degrees
Atoms (fractional coordinates):
Pd (0.0000, 0.1316, 0.3684)
Y (0.5000, 0.1682, 0.6682)
Pd (0.0000, 0.6316, 0.1316)
Pd (0.0000, 0.3684, 0.8684)
Mg (0.0000, 0.5000, 0.5000)
Y (0.5000, 0.3318, 0.1682)
Y (0.5000, 0.8318, 0.3318)
Mg (0.0000, 0.0000, 0.0000)
Pd (0.0000, 0.8684, 0.6316)
Y (0.5000, 0.6682, 0.8318)

Total DFT energy (no corrections) ... -6.2150 eV/atom

Record 9
Crystalline YMgPd at its relaxed geometry, computed with PBEsol.

Cell lengths 4.0363, 7.3603, 7.3603 Å; angles 120.00, 90.00, 90.00 degrees
Atoms (fractional coordinates):
Pd (0.5000, 0.0000, 0.0000)
Mg (0.0000, 0.7547, 0.0000)
Mg (0.0000, 0.0000, 0.7547)
Y (0.5000, 0.5883, 0.5883)
Mg (0.0000, 0.2453, 0.2453)
Pd (0.0000, 0.6667, 0.3333)
Pd (0.0000, 0.3333, 0.6667)
Y (0.5000, 0.0000, 0.4117)
Y (0.5000, 0.4117, 0.0000)

Total DFT energy (no corrections) ... -5.5043 eV/atom

Record 10
Crystalline MgZnPd2 at its relaxed geometry, computed with PBEsol.

Cell lengths 4.3450, 4.3450, 4.3450 Å; angles 60.00, 60.00, 60.00 degrees
Atoms (fractional coordinates):
Mg (0.0000, 0.0000, 0.0000)
Pd (0.7500, 0.7500, 0.7500)
Pd (0.2500, 0.2500, 0.2500)
Zn (0.5000, 0.5000, 0.5000)

Total DFT energy (no corrections) ... -4.4436 eV/atom

Record 11
Crystalline MgZn2Pd2 at its relaxed geometry, computed with PBEsol.

Cell lengths 2.8875, 7.2752, 7.2752 Å; angles 90.00, 90.00, 90.00 degrees
Atoms (fractional coordinates):
Zn (0.5000, 0.1512, 0.6512)
Mg (0.0000, 0.5000, 0.5000)
Mg (0.0000, 0.0000, 0.0000)
Pd (0.0000, 0.8545, 0.6455)
Pd (0.0000, 0.3545, 0.8545)
Zn (0.5000, 0.8488, 0.3488)
Zn (0.5000, 0.6512, 0.8488)
Pd (0.0000, 0.6455, 0.1455)
Pd (0.0000, 0.1455, 0.3545)
Zn (0.5000, 0.3488, 0.1512)

Total DFT energy (no corrections) ... -3.8366 eV/atom

Record 12
Crystalline Mg3ZnPd at its relaxed geometry, computed with PBEsol.

Cell lengths 4.7938, 4.7938, 4.7938 Å; angles 90.00, 90.00, 90.00 degrees
Atoms (fractional coordinates):
Mg (0.5000, 0.0000, 0.0000)
Zn (0.0000, 0.0000, 0.0000)
Mg (0.0000, 0.5000, 0.0000)
Mg (0.0000, 0.0000, 0.5000)
Pd (0.5000, 0.5000, 0.5000)

Total DFT energy (no corrections) ... -2.1667 eV/atom

Record 13
Crystalline Pm2Mg at its relaxed geometry, computed with PBEsol.

Cell lengths 3.5902, 3.5902, 7.3024 Å; angles 104.23, 104.23, 90.00 degrees
Atoms (fractional coordinates):
Pm (0.8388, 0.8388, 0.6777)
Mg (0.5000, 0.5000, 0.0000)
Pm (0.1612, 0.1612, 0.3223)

Energy relative to the lowest polymorph listed for this composition ... 6 meV per atom
Total DFT energy (no corrections) ... -4.0470 eV/atom

Record 14
Crystalline PmMg at its relaxed geometry, computed with PBEsol.

Cell lengths 3.8066, 3.8066, 3.8066 Å; angles 90.00, 90.00, 90.00 degrees
Atoms (fractional coordinates):
Mg (0.0000, 0.0000, 0.0000)
Pm (0.5000, 0.5000, 0.5000)

Total DFT energy (no corrections) ... -3.5260 eV/atom

Record 15
Crystalline PmMg2 at its relaxed geometry, computed with PBEsol.

Cell lengths 6.0443, 6.0443, 6.0443 Å; angles 60.00, 60.00, 60.00 degrees
Atoms (fractional coordinates):
Mg (0.6250, 0.1250, 0.6250)
Mg (0.1250, 0.6250, 0.6250)
Mg (0.6250, 0.6250, 0.6250)
Pm (0.2500, 0.2500, 0.2500)
Mg (0.6250, 0.6250, 0.1250)
Pm (0.0000, 0.0000, 0.0000)

Total DFT energy (no corrections) ... -2.9421 eV/atom

Record 16
Crystalline PmMg3 at its relaxed geometry, computed with PBEsol.

Cell lengths 5.1715, 6.7101, 6.7101 Å; angles 120.00, 90.00, 90.00 degrees
Atoms (fractional coordinates):
Mg (0.7500, 0.8369, 0.6738)
Mg (0.7500, 0.3262, 0.1631)
Mg (0.2500, 0.6738, 0.8369)
Mg (0.7500, 0.8369, 0.1631)
Pm (0.7500, 0.3333, 0.6667)
Mg (0.2500, 0.1631, 0.3262)
Pm (0.2500, 0.6667, 0.3333)
Mg (0.2500, 0.1631, 0.8369)

Total DFT energy (no corrections) ... -2.6632 eV/atom

Record 17
Crystalline Pm3Mg at its relaxed geometry, computed with PBEsol.

Cell lengths 4.8882, 4.8882, 6.0276 Å; angles 113.92, 113.92, 90.00 degrees
Atoms (fractional coordinates):
Pm (0.2500, 0.7500, 0.5000)
Pm (0.7500, 0.2500, 0.5000)
Pm (0.5000, 0.5000, 0.0000)
Mg (0.0000, 0.0000, 0.0000)

Total DFT energy (no corrections) ... -4.2912 eV/atom

Record 18
Crystalline Pm5Mg at its relaxed geometry, computed with PBEsol.

Cell lengths 3.6231, 5.7062, 9.1440 Å; angles 90.00, 101.43, 90.00 degrees
Atoms (fractional coordinates):
Pm (0.8788, 0.5000, 0.7576)
Pm (0.3352, 0.0000, 0.6705)
Pm (0.0066, 0.0000, 0.0132)
Pm (0.5535, 0.5000, 0.1070)
Mg (0.2176, 0.5000, 0.4352)
Pm (0.6749, 0.0000, 0.3498)

Total DFT energy (no corrections) ... -4.5497 eV/atom

Record 19
Crystalline Pm2Mg at its relaxed geometry, computed with PBEsol.

Cell lengths 3.7409, 5.5204, 8.7726 Å; angles 90.00, 102.31, 90.00 degrees
Atoms (fractional coordinates):
Pm (0.2289, 0.7500, 0.4577)
Pm (0.0891, 0.2500, 0.1782)
Pm (0.9109, 0.7500, 0.8218)
Pm (0.7711, 0.2500, 0.5423)
Mg (0.4315, 0.2500, 0.8630)
Mg (0.5685, 0.7500, 0.1370)

Energy relative to the lowest polymorph listed for this composition ... 0 meV per atom
Total DFT energy (no corrections) ... -4.0526 eV/atom

Record 20
Crystalline PmPrMg2 at its relaxed geometry, computed with PBEsol.

Cell lengths 5.4212, 5.4212, 5.4212 Å; angles 60.00, 60.00, 60.00 degrees
Atoms (fractional coordinates):
Pm (0.5000, 0.5000, 0.5000)
Mg (0.7500, 0.7500, 0.7500)
Pr (0.0000, 0.0000, 0.0000)
Mg (0.2500, 0.2500, 0.2500)

Total DFT energy (no corrections) ... -3.5435 eV/atom

Record 21
Crystalline Pm2MgS4 at its relaxed geometry, computed with PBEsol.

Cell lengths 3.9014, 12.7514, 13.5596 Å; angles 90.00, 90.00, 90.00 degrees
Atoms (fractional coordinates):
Pm (0.7500, 0.3668, 0.7928)
Pm (0.7500, 0.3791, 0.4244)
S (0.7500, 0.4741, 0.6145)
S (0.2500, 0.0259, 0.1145)
Mg (0.7500, 0.6094, 0.9574)
S (0.7500, 0.5032, 0.1148)
Pm (0.2500, 0.6209, 0.5756)
Pm (0.7500, 0.8791, 0.0756)
Pm (0.2500, 0.1209, 0.9244)
S (0.2500, 0.7286, 0.7497)
S (0.7500, 0.0032, 0.3852)
S (0.7500, 0.2714, 0.2503)
Mg (0.7500, 0.1094, 0.5426)
Mg (0.2500, 0.3906, 0.0426)
Pm (0.2500, 0.1332, 0.2928)
Pm (0.7500, 0.8668, 0.7072)
S (0.7500, 0.2667, 0.9846)
S (0.7500, 0.7667, 0.5154)
Mg (0.2500, 0.8906, 0.4574)
S (0.2500, 0.9968, 0.6148)
S (0.2500, 0.7333, 0.0154)
S (0.2500, 0.2286, 0.7503)
S (0.2500, 0.2333, 0.4846)
S (0.2500, 0.4968, 0.8852)
Pm (0.2500, 0.6332, 0.2072)
S (0.7500, 0.9741, 0.8855)
S (0.2500, 0.5259, 0.3855)
S (0.7500, 0.7714, 0.2497)

Energy relative to the lowest polymorph listed for this composition ... 73 meV per atom
Total DFT energy (no corrections) ... -6.0225 eV/atom
Energy relative to the elements, uncorrected ... -1.804 eV/atom

Record 22
Crystalline Pm2MgS4 at its relaxed geometry, computed with PBEsol.

Cell lengths 7.1966, 7.1966, 7.1966 Å; angles 73.18, 69.19, 110.81 degrees
Atoms (fractional coordinates):
S (0.2365, 0.8750, 0.7463)
S (0.6212, 0.7463, 0.0172)
Mg (0.0000, 0.0000, 0.0000)
S (0.2635, 0.8885, 0.2328)
S (0.8788, 0.3750, 0.8885)
Mg (0.5000, 0.2500, 0.2500)
Pm (0.3767, 0.6250, 0.4983)
S (0.7635, 0.0172, 0.3615)
Pm (0.6233, 0.1250, 0.7517)
Pm (0.8767, 0.7517, 0.6250)
S (0.7365, 0.5037, 0.3750)
S (0.3788, 0.3615, 0.8750)
Pm (0.1233, 0.4983, 0.1250)
S (0.1212, 0.2328, 0.5037)

Energy relative to the lowest polymorph listed for this composition ... 0 meV per atom
Total DFT energy (no corrections) ... -6.0951 eV/atom
Energy relative to the elements, uncorrected ... -1.877 eV/atom

Record 23
Crystalline Pm2MgS4 at its relaxed geometry, computed with PBEsol.

Cell lengths 7.9840, 7.9840, 7.9840 Å; angles 60.00, 60.00, 60.00 degrees
Atoms (fractional coordinates):
Pm (0.6250, 0.1250, 0.1250)
S (0.3719, 0.3719, 0.8844)
S (0.8781, 0.8781, 0.3656)
Mg (0.7500, 0.7500, 0.7500)
Pm (0.1250, 0.1250, 0.6250)
S (0.3719, 0.3719, 0.3719)
Pm (0.1250, 0.1250, 0.1250)
Pm (0.1250, 0.6250, 0.1250)
S (0.8781, 0.3656, 0.8781)
S (0.8781, 0.8781, 0.8781)
S (0.8844, 0.3719, 0.3719)
S (0.3656, 0.8781, 0.8781)
S (0.3719, 0.8844, 0.3719)
Mg (0.5000, 0.5000, 0.5000)

Energy relative to the lowest polymorph listed for this composition ... 52 meV per atom
Total DFT energy (no corrections) ... -6.0434 eV/atom
Energy relative to the elements, uncorrected ... -1.825 eV/atom

Record 24
Crystalline Pm2MgSi at its relaxed geometry, computed with PBEsol.

Cell lengths 5.1359, 5.1359, 5.1359 Å; angles 60.00, 60.00, 60.00 degrees
Atoms (fractional coordinates):
Pm (0.7500, 0.7500, 0.7500)
Si (0.0000, 0.0000, 0.0000)
Mg (0.5000, 0.5000, 0.5000)
Pm (0.2500, 0.2500, 0.2500)

Total DFT energy (no corrections) ... -4.7591 eV/atom
Energy relative to the elements, uncorrected ... -0.325 eV/atom